# 1
{
  "formula": "MgB2H2",
  "functional": "GGA-PBE",
  "state": "optimized geometry",
  "lattice_angstrom": [[5.7405, 0.0000, 0.0000], [0.0000, 5.7405, 0.0000], [0.0000, 0.0000, 2.4099]],
  "species": ["Mg", "Mg", "B", "B", "B", "B", "H", "H", "H", "H"],
  "fractional_positions": [[0.0000, 0.0000, 0.0000], [0.5000, 0.5000, 0.0000], [0.1052, 0.3948, 0.5000], [0.3948, 0.8948, 0.5000], [0.6052, 0.1052, 0.5000], [0.8948, 0.6052, 0.5000], [0.1050, 0.6050, 0.0000], [0.3950, 0.1050, 0.0000], [0.6050, 0.8950, 0.0000], [0.8950, 0.3950, 0.0000]],
  "spacegroup": "P4/mbm, No. 127",
  "de_polymorph_ev_per_atom": 0.158
}

# 2
{
  "formula": "ReP2BrO",
  "functional": "GGA-PBE",
  "state": "optimized geometry",
  "lattice_angstrom": [[4.7902, 0.0000, 0.0000], [0.0000, 4.7902, 0.0000], [0.0000, 0.0000, 3.7973]],
  "species": ["Re", "P", "P", "Br", "O"],
  "fractional_positions": [[0.0000, 0.0000, 0.0000], [0.0000, 0.5000, 0.0000], [0.5000, 0.0000, 0.0000], [0.5000, 0.5000, 0.5000], [0.0000, 0.0000, 0.5000]],
  "formation_energy_uncorrected_ev_per_atom": -0.026,
  "spacegroup": "P4/mmm, No. 123",
  "de_polymorph_ev_per_atom": 0.000
}

# 3
{
  "formula": "Cs2NpB2O6",
  "functional": "GGA-PBE",
  "state": "optimized geometry",
  "lattice_angstrom": [[2.8081, 1.6213, 7.1081], [-2.8081, 1.6213, 7.1081], [0.0000, -3.2425, 7.1081]],
  "species": ["Cs", "Cs", "Np", "B", "B", "O", "O", "O", "O", "O", "O"],
  "fractional_positions": [[0.2152, 0.2152, 0.2152], [0.7848, 0.7848, 0.7848], [0.0000, 0.0000, 0.0000], [0.3925, 0.3925, 0.3925], [0.6075, 0.6075, 0.6075], [0.2505, 0.2505, 0.6799], [0.2505, 0.6799, 0.2505], [0.3201, 0.7495, 0.7495], [0.6799, 0.2505, 0.2505], [0.7495, 0.3201, 0.7495], [0.7495, 0.7495, 0.3201]],
  "formation_energy_uncorrected_ev_per_atom": -2.450,
  "spacegroup": "R-3m, No. 166"
}

# 4
{
  "formula": "YTeP2",
  "functional": "GGA-PBE",
  "state": "optimized geometry",
  "lattice_angstrom": [[0.0000, 3.5438, 3.5438], [3.5438, 0.0000, 3.5438], [3.5438, 3.5438, 0.0000]],
  "species": ["Y", "Te", "P", "P"],
  "fractional_positions": [[0.0000, 0.0000, 0.0000], [0.7500, 0.7500, 0.7500], [0.2500, 0.2500, 0.2500], [0.5000, 0.5000, 0.5000]],
  "formation_energy_uncorrected_ev_per_atom": 0.030,
  "spacegroup": "F-43m, No. 216"
}

# 5
{
  "formula": "Ba2EuI",
  "functional": "GGA-PBE",
  "state": "optimized geometry",
  "lattice_angstrom": [[4.2112, 0.0000, 0.0000], [0.0000, 4.2112, 0.0000], [0.0000, 0.0000, 10.9718]],
  "species": ["Ba", "Ba", "Eu", "I"],
  "fractional_positions": [[0.0000, 0.0000, 0.2239], [0.0000, 0.0000, 0.7761], [0.5000, 0.5000, 0.5000], [0.5000, 0.5000, 0.0000]],
  "formation_energy_uncorrected_ev_per_atom": -0.557,
  "spacegroup": "P4/mmm, No. 123",
  "de_polymorph_ev_per_atom": 0.000
}

# 6
{
  "formula": "Re2HgMo",
  "functional": "GGA-PBE",
  "state": "optimized geometry",
  "lattice_angstrom": [[1.4262, 0.8234, 9.4064], [-1.4262, 0.8234, 9.4064], [0.0000, -1.6469, 9.4064]],
  "species": ["Re", "Re", "Hg", "Mo"],
  "fractional_positions": [[0.2437, 0.2437, 0.2437], [0.7563, 0.7563, 0.7563], [0.0000, 0.0000, 0.0000], [0.5000, 0.5000, 0.5000]],
  "spacegroup": "R-3m, No. 166",
  "delta_e_f_ev_per_atom": 0.47
}

# 7
{
  "formula": "ZrTaTc2",
  "functional": "GGA-PBE",
  "state": "optimized geometry",
  "lattice_angstrom": [[3.2309, 0.0000, 0.0000], [0.0000, 3.2309, 0.0000], [0.0000, 0.0000, 6.5107]],
  "species": ["Zr", "Ta", "Tc", "Tc"],
  "fractional_positions": [[0.0000, 0.0000, 0.0000], [0.0000, 0.0000, 0.5000], [0.5000, 0.5000, 0.2609], [0.5000, 0.5000, 0.7391]],
  "spacegroup": "P4/mmm, No. 123",
  "delta_e_f_ev_per_atom": -0.44
}

# 8
{
  "formula": "La10TbPr4",
  "functional": "GGA-PBE",
  "state": "optimized geometry",
  "lattice_angstrom": [[-5.0564, 5.0564, 5.2711], [5.0564, -5.0564, 5.2711], [5.0564, 5.0564, -5.2711]],
  "species": ["La", "La", "La", "La", "La", "La", "La", "La", "La", "La", "Tb", "Pr", "Pr", "Pr", "Pr"],
  "fractional_positions": [[0.0392, 0.7260, 0.0833], [0.0441, 0.9608, 0.6868], [0.2500, 0.7500, 0.5000], [0.2740, 0.3573, 0.3132], [0.3573, 0.0441, 0.0833], [0.6427, 0.9559, 0.9167], [0.7260, 0.6427, 0.6868], [0.7500, 0.2500, 0.5000], [0.9559, 0.0392, 0.3132], [0.9608, 0.2740, 0.9167], [0.5000, 0.5000, 0.0000], [0.1764, 0.5498, 0.7262], [0.4502, 0.1764, 0.6266], [0.5498, 0.8236, 0.3734], [0.8236, 0.4502, 0.2738]],
  "spacegroup": "I4/m, No. 87",
  "delta_e_f_ev_per_atom": 0.25
}